Computed, not measured: a relaxed RbNaTcI6 crystal at the PBE-GGA level of DFT.

abc: 7.9737 7.9737 15.2545
angles: 90.00 90.00 120.00
Last column: nearest neighbours and their distance in Å.
Positions (direct):
Rb1 0.0000 0.0000 0.0000  6 I 3.72
Rb2 0.0000 0.0000 0.5000  6 I 3.72
Na1 0.3333 0.6667 0.2500  6 I 3.22
Na2 0.6667 0.3333 0.7500  6 I 3.22
Tc1 0.6667 0.3333 0.2500  6 I 2.76
Tc2 0.3333 0.6667 0.7500  6 I 2.76
I1 0.6477 0.6041 0.1444  1 Tc 2.76
I2 0.9563 0.3523 0.1444  1 Tc 2.76
I3 0.3523 0.9563 0.6444  1 Tc 2.76
I4 0.0437 0.6477 0.8556  1 Tc 2.76
I5 0.3959 0.3523 0.3556  1 Tc 2.76
I6 0.9563 0.6041 0.3556  1 Tc 2.76
I7 0.6041 0.9563 0.8556  1 Tc 2.76
I8 0.6477 0.0437 0.3556  1 Tc 2.76
I9 0.0437 0.3959 0.6444  1 Tc 2.76
I10 0.3959 0.0437 0.1444  1 Tc 2.76
I11 0.6041 0.6477 0.6444  1 Tc 2.76
I12 0.3523 0.3959 0.8556  1 Tc 2.76

***

Computed, not measured: a relaxed Rb2NaTcI6 crystal at the PBE-GGA level of DFT.

Values from the calculation:
Its energy above the most stable polymorph in this dataset is 19 meV per atom. For the density of states at the Fermi level, the calculation gives 11.0 states/eV/f.u.

abc: 8.3500 8.3500 8.3503
angles: 60.00 60.00 90.00
Last column: nearest neighbours and their distance in Å.
Positions (direct):
I1 0.2337 0.2337 0.5327  1 Tc 2.76
I2 0.7663 0.7663 0.4673  1 Tc 2.76
I3 0.2336 0.2336 0.0000  1 Tc 2.76
I4 0.7664 0.7664 0.0000  1 Tc 2.76
I5 0.7664 0.2336 0.0000  1 Tc 2.76
I6 0.2336 0.7664 0.0000  1 Tc 2.76
Na1 0.5000 0.5000 0.0000  6 I 3.15
Tc1 0.0000 0.0000 0.0000  6 I 2.76
Rb1 0.7500 0.2500 0.5000  12 I 4.18
Rb2 0.2500 0.7500 0.5000  12 I 4.18

***

Computed, not measured: a relaxed Rb2NaTcI6 crystal at the PBE-GGA level of DFT.

Values from the calculation:
Its energy above the most stable polymorph in this dataset is 0 meV per atom. For the density of states at the Fermi level, the calculation gives 6.2 states/eV/f.u.

abc: 8.2136 8.2136 15.3414
angles: 74.47 74.47 60.00
Last column: nearest neighbours and their distance in Å.
Positions (direct):
Rb1 0.8696 0.8696 0.3912  9 I 4.00-4.11
Rb2 0.1304 0.1304 0.6088  9 I 4.00-4.11
Rb3 0.6963 0.6963 0.9111  9 I 3.85-4.12
Rb4 0.3037 0.3037 0.0889  9 I 3.85-4.12
Na1 0.5841 0.5841 0.2476  6 I 3.11-3.20
Na2 0.4159 0.4159 0.7524  6 I 3.11-3.20
Tc1 0.0000 0.0000 0.0000  6 I 2.76
Tc2 0.5000 0.5000 0.5000  6 I 2.78
I1 0.8581 0.3751 0.3918  1 Tc 2.78, 1 Na 3.11
I2 0.3751 0.8581 0.3918  1 Tc 2.78, 1 Na 3.11
I3 0.3751 0.3751 0.3918  1 Tc 2.78, 1 Na 3.11
I4 0.1419 0.6249 0.6082  1 Tc 2.78, 1 Na 3.11
I5 0.6249 0.1419 0.6082  1 Tc 2.78, 1 Na 3.11
I6 0.6249 0.6249 0.6082  1 Tc 2.78, 1 Na 3.11
I7 0.7223 0.1944 0.8888  1 Tc 2.76
I8 0.1944 0.7223 0.8888  1 Tc 2.76
I9 0.1944 0.1944 0.8888  1 Tc 2.76
I10 0.2777 0.8056 0.1112  1 Tc 2.76
I11 0.8056 0.2777 0.1112  1 Tc 2.76
I12 0.8056 0.8056 0.1112  1 Tc 2.76

***

Computed, not measured: a relaxed RbNaTeI2 crystal at the PBE-GGA level of DFT.

Values from the calculation:
Its energy above the most stable polymorph in this dataset is 350 meV per atom. For the density of states at the Fermi level, the calculation gives 5.8 states/eV/f.u.

abc: 6.9018 6.9018 6.6674
angles: 90.00 90.00 90.00
Last column: nearest neighbours and their distance in Å.
Positions (direct):
I1 0.0000 0.5000 0.0000  2 Rb 3.45
I2 0.5000 0.0000 0.0000  2 Rb 3.45
Na1 0.5000 0.5000 0.5000  8 I 4.80, 4 Te 4.88
Te1 0.0000 0.0000 0.5000  2 Rb 3.33
Rb1 0.0000 0.0000 0.0000  2 Te 3.33, 4 I 3.45

***

Computed, not measured: a relaxed RbNaTeI2 crystal at the PBE-GGA level of DFT.

Values from the calculation:
Its energy above the most stable polymorph in this dataset is 0 meV per atom. For the density of states at the Fermi level, the calculation gives 3.3 states/eV/f.u.

abc: 6.2171 6.2171 5.8914
angles: 90.00 90.00 90.00
Last column: nearest neighbours and their distance in Å.
Positions (direct):
I1 0.0000 0.5000 0.0000  2 Na 3.11
I2 0.5000 0.0000 0.0000  2 Na 3.11
Na1 0.0000 0.0000 0.0000  2 Te 2.95, 4 I 3.11
Te1 0.0000 0.0000 0.5000  2 Na 2.95
Rb1 0.5000 0.5000 0.5000  8 I 4.28, 4 Te 4.40

***

Computed, not measured: a relaxed RbNa2TeI crystal at the PBE-GGA level of DFT.

Values from the calculation:
For the density of states at the Fermi level, the calculation gives 0.0 states/eV/f.u.

abc: 5.0207 5.0207 8.9603
angles: 106.27 106.27 90.00
Last column: nearest neighbours and their distance in Å.
Positions (direct):
Rb1 0.5303 0.5303 0.0606  4 Te 3.93, 4 Na 4.26
Na1 0.7392 0.2392 0.4784  2 Te 3.06, 2 I 3.18
Na2 0.2392 0.7392 0.4784  2 Te 3.06, 2 I 3.18
Te1 0.1332 0.1332 0.2665  4 Na 3.06
I1 0.8581 0.8581 0.7162  4 Na 3.18

***

What volume values result from the calculations? In sequence: 840, 412, 852, 318, 228, 207 Å³/cell.
What energy relative to the elements, uncorrected values result from the calculations? In sequence: -626, -790, -809, -262, -613, -1065 meV/atom.
What electronic total energy values result from the calculations? In sequence: -0.22533, -0.22650, -0.22791, -0.14465, -0.17040, -0.20022 Ry per atom.